[1]
VASP calculation (GGA-PBE) on a relaxed structure of LaPu2Si2.

Calculated values
Crystal system ... monoclinic
Energy relative to the lowest polymorph listed for this composition ... 0.142 eV/atom
Size of the total moment ... 0.1 Bohr magnetons per cell

Cell: 5.288 4.107 11.749 Å, 90.00 93.15 90.00°
Atoms (fractional coordinates):
La  0.162  0.250  0.234
La  0.838  0.750  0.766
Pu  0.258  0.750  0.486
Pu  0.380  0.250  0.895
Pu  0.620  0.750  0.105
Pu  0.742  0.250  0.514
Si  0.114  0.750  0.021
Si  0.252  0.250  0.658
Si  0.748  0.750  0.342
Si  0.886  0.250  0.979

***

[2]
VASP calculation (GGA-PBE) on a relaxed structure of LaPuSi.

Calculated values
Crystal system ... trigonal
Energy relative to the lowest polymorph listed for this composition ... 0.261 eV/atom
Size of the total moment ... 5.9 Bohr magnetons per cell

Cell: 4.813 4.813 3.764 Å, 90.00 90.00 120.00°
Atoms (fractional coordinates):
La  0.000  0.000  0.000
Pu  0.667  0.333  0.389
Si  0.333  0.667  0.627

***

[3]
VASP calculation (GGA-PBE) on a relaxed structure of La2Pu3Si4.

Calculated values
Crystal system ... monoclinic
Size of the total moment ... 12.4 Bohr magnetons per cell
Total energy ... -158.1 eV/cell

Cell: 7.829 7.797 7.467 Å, 90.00 107.68 90.00°
Atoms (fractional coordinates):
La  0.190  0.174  0.071
La  0.190  0.326  0.571
La  0.810  0.674  0.429
La  0.810  0.826  0.929
Pu  0.253  0.692  0.248
Pu  0.253  0.808  0.748
Pu  0.500  0.000  0.500
Pu  0.500  0.500  0.000
Pu  0.747  0.192  0.252
Pu  0.747  0.308  0.752
Si  0.069  0.529  0.875
Si  0.069  0.971  0.375
Si  0.490  0.110  0.878
Si  0.490  0.390  0.378
Si  0.510  0.610  0.622
Si  0.510  0.890  0.122
Si  0.931  0.029  0.625
Si  0.931  0.471  0.125

***

[4]
VASP calculation (GGA-PBE) on a relaxed structure of LaPuSi.

Calculated values
Crystal system ... tetragonal
Energy relative to the lowest polymorph listed for this composition ... 0.292 eV/atom
Size of the total moment ... 0.0 Bohr magnetons per cell

Cell: 12.264 12.264 12.264 Å, 164.19 164.19 22.44°
Atoms (fractional coordinates):
La  0.077  0.077  0.000
La  0.923  0.923  0.000
Pu  0.230  0.230  0.000
Pu  0.770  0.770  0.000
Si  0.343  0.343  0.000
Si  0.657  0.657  0.000

***

[5]
VASP calculation (GGA-PBE) on a relaxed structure of LaPu2Si.

Calculated values
Crystal system ... tetragonal
Energy relative to the lowest polymorph listed for this composition ... 0.055 eV/atom
Size of the total moment ... 11.4 Bohr magnetons per cell

Cell: 3.825 3.825 6.793 Å, 90.00 90.00 90.00°
Atoms (fractional coordinates):
La  0.000  0.000  0.000
Pu  0.500  0.500  0.297
Pu  0.500  0.500  0.703
Si  0.000  0.000  0.500

***

[6]
VASP calculation (GGA-PBE) on a relaxed structure of LaPu2Zn2Si2.

Calculated values
Crystal system ... trigonal
Size of the total moment ... 0.0 Bohr magnetons per cell
Total energy ... -48.8 eV/cell

Cell: 9.660 9.660 9.660 Å, 24.12 24.12 24.12°
Atoms (fractional coordinates):
La  0.000  0.000  0.000
Pu  0.152  0.152  0.152
Pu  0.848  0.848  0.848
Zn  0.412  0.412  0.412
Zn  0.588  0.588  0.588
Si  0.254  0.254  0.254
Si  0.746  0.746  0.746

***

[7]
VASP calculation (GGA-PBE) on a relaxed structure of La4Sm8Pu.

Calculated values
Crystal system ... trigonal
Size of the total moment ... 7.7 Bohr magnetons per cell
ΔE_f ... 0.407 eV per atom

Cell: 7.838 7.838 7.838 Å, 98.01 98.01 98.01°
Atoms (fractional coordinates):
La  0.000  0.000  0.000
La  0.000  0.500  0.500
La  0.500  0.000  0.500
La  0.500  0.500  0.000
Sm  0.163  0.163  0.669
Sm  0.163  0.669  0.163
Sm  0.244  0.244  0.244
Sm  0.331  0.837  0.837
Sm  0.669  0.163  0.163
Sm  0.756  0.756  0.756
Sm  0.837  0.331  0.837
Sm  0.837  0.837  0.331
Pu  0.500  0.500  0.500

***

[8]
VASP calculation (GGA-PBE) on a relaxed structure of La5Sm6Pu.

Calculated values
Crystal system ... monoclinic
Size of the total moment ... 6.6 Bohr magnetons per cell
ΔE_f ... 0.047 eV per atom

Cell: 6.341 6.341 12.040 Å, 95.04 95.04 120.06°
Atoms (fractional coordinates):
La  0.000  0.000  0.000
La  0.167  0.833  0.500
La  0.334  0.666  0.000
La  0.666  0.334  0.000
La  0.833  0.167  0.500
Sm  0.090  0.418  0.254
Sm  0.254  0.254  0.746
Sm  0.418  0.090  0.254
Sm  0.582  0.910  0.746
Sm  0.746  0.746  0.254
Sm  0.910  0.582  0.746
Pu  0.500  0.500  0.500

***

[9]
VASP calculation (GGA-PBE) on a relaxed structure of La12Sm3Pu.

Calculated values
Crystal system ... tetragonal
Size of the total moment ... 6.7 Bohr magnetons per cell
ΔE_f ... 0.035 eV per atom

Cell: 5.213 5.213 20.860 Å, 90.00 90.00 90.00°
Atoms (fractional coordinates):
La  0.000  0.000  0.000
La  0.000  0.000  0.247
La  0.000  0.000  0.500
La  0.000  0.000  0.753
La  0.000  0.500  0.120
La  0.000  0.500  0.374
La  0.000  0.500  0.626
La  0.000  0.500  0.880
La  0.500  0.000  0.120
La  0.500  0.000  0.374
La  0.500  0.000  0.626
La  0.500  0.000  0.880
Sm  0.500  0.500  0.248
Sm  0.500  0.500  0.500
Sm  0.500  0.500  0.752
Pu  0.500  0.500  0.000

***

[10]
VASP calculation (GGA-PBE) on a relaxed structure of LaSm14Pu.

Calculated values
Crystal system ... tetragonal
Size of the total moment ... 6.5 Bohr magnetons per cell
ΔE_f ... 0.044 eV per atom

Cell: 7.256 7.256 10.213 Å, 90.00 90.00 90.00°
Atoms (fractional coordinates):
La  0.000  0.000  0.000
Sm  0.000  0.000  0.500
Sm  0.000  0.500  0.000
Sm  0.000  0.500  0.500
Sm  0.253  0.253  0.248
Sm  0.253  0.253  0.752
Sm  0.253  0.747  0.248
Sm  0.253  0.747  0.752
Sm  0.500  0.000  0.000
Sm  0.500  0.000  0.500
Sm  0.500  0.500  0.500
Sm  0.747  0.253  0.248
Sm  0.747  0.253  0.752
Sm  0.747  0.747  0.248
Sm  0.747  0.747  0.752
Pu  0.500  0.500  0.000